[1]
Computed, not measured: crystalline SrTcAg2 at its relaxed geometry at the PBE level of DFT.

Values from the calculation:
Magnetization (μB per cell): 0.8
Energy of formation from the pure elements (eV/atom): 0.8323
Symmetry: R-3m, No. 166
N(E_F) (states/eV/atom): 1.123
Distance to the lowest polymorph of the same formula (eV per atom): 0.306

Cell: 10.3116 10.3116 10.3116 Å, 16.89 16.89 16.89°
Positions (direct):
Sr 0.0000 0.0000 0.0000
Tc 0.5000 0.5000 0.5000
Ag 0.2412 0.2412 0.2412
Ag 0.7588 0.7588 0.7588

---

[2]
Computed, not measured: crystalline SrTc3Ag at its relaxed geometry at the PBE level of DFT.

Values from the calculation:
Magnetization (μB per cell): 3.0
Energy of formation from the pure elements (eV/atom): 2.9176
Symmetry: Pm-3m, No. 221
N(E_F) (states/eV/atom): 1.251
Distance to the lowest polymorph of the same formula (eV per atom): 0.962

Cell: 4.7967 4.7967 4.7967 Å, 90.00 90.00 90.00°
Positions (direct):
Sr 0.0000 0.0000 0.0000
Tc 0.0000 0.0000 0.5000
Tc 0.0000 0.5000 0.0000
Tc 0.5000 0.0000 0.0000
Ag 0.5000 0.5000 0.5000